Below is an optimized crystal structure of Cs2In5Au3, with properties calculated at the PBE level.

Its calculated formation energy is -2.06 eV/f.u. As for the space group: Ibam. As for the total energy: -2.729 eV/atom.

```
Cs2In5Au3
1.0
-4.984 2.806 -4.674
-3.436 -6.898 -6.314
-9.279 -2.680 2.448
Cs Au In
4 6 10
Direct
0.625 0.106 0.643
0.125 0.643 0.106
0.375 0.894 0.357
0.875 0.357 0.894
0.115 0.254 0.517
0.250 0.000 0.000
0.385 0.483 0.746
0.750 0.000 0.000
0.615 0.517 0.254
0.885 0.746 0.483
0.124 0.992 0.759
0.624 0.759 0.992
0.376 0.241 0.008
0.025 0.725 0.725
0.750 0.500 0.500
0.525 0.725 0.725
0.876 0.008 0.241
0.250 0.500 0.500
0.475 0.275 0.275
0.975 0.275 0.275
```